[1]
First-principles (PBE) data for a geometry-optimized CaTmIrO6 structure, as listed in Alexandria.

Cell and atoms, written as POSCAR:
```
CaTmIrO6
1.0
5.4899 0.0000 0.0000
-2.7450 4.7544 0.0000
0.0000 0.0000 9.6876
Ca Tm Ir O
2 2 2 12
direct
0.0000 0.0000 0.0000
0.0000 0.0000 0.5000
0.3333 0.6667 0.2500
0.6667 0.3333 0.7500
0.3333 0.6667 0.7500
0.6667 0.3333 0.2500
0.0398 0.3796 0.6381
0.0398 0.6602 0.8619
0.3398 0.3796 0.8619
0.3398 0.9602 0.6381
0.3796 0.0398 0.1381
0.3796 0.3398 0.3619
0.6204 0.6602 0.6381
0.6204 0.9602 0.8619
0.6602 0.0398 0.3619
0.6602 0.6204 0.1381
0.9602 0.3398 0.1381
0.9602 0.6204 0.3619
```

Results
Its density of states at the Fermi level is 4.47 states/eV/f.u. The value obtained for the total energy is -124.925 eV for the cell shown. The value obtained for the theoretical density is 6.53 Mg/m³. The value obtained for the formation energy without anion corrections is -1931 meV/atom.

---

[2]
First-principles (PBE) data for a geometry-optimized CaUIrO6 structure, as listed in Alexandria.

Cell and atoms, written as POSCAR:
```
CaUIrO6
1.0
5.3948 0.0000 0.0000
-2.6974 4.6720 0.0000
0.0000 0.0000 9.4038
Ca U Ir O
2 2 2 12
direct
0.3333 0.6667 0.2500
0.6667 0.3333 0.7500
0.0000 0.0000 0.0000
0.0000 0.0000 0.5000
0.3333 0.6667 0.7500
0.6667 0.3333 0.2500
0.0488 0.3473 0.6258
0.0488 0.7015 0.8742
0.2985 0.3473 0.8742
0.2985 0.9512 0.6258
0.3473 0.0488 0.1258
0.3473 0.2985 0.3742
0.6527 0.7015 0.6258
0.6527 0.9512 0.8742
0.7015 0.0488 0.3742
0.7015 0.6527 0.1258
0.9512 0.2985 0.1258
0.9512 0.6527 0.3742
```

Results
Its density of states at the Fermi level is 7.12 states/eV/f.u. The value obtained for the total energy is -144.454 eV for the cell shown. The value obtained for the theoretical density is 7.94 Mg/m³. The value obtained for the formation energy without anion corrections is -2259 meV/atom.

---

[3]
First-principles (PBE) data for a geometry-optimized Ca2UIrO8 structure, as listed in Alexandria.

Cell and atoms, written as POSCAR:
```
Ca2UIrO8
1.0
3.5356 -3.6716 0.0000
3.5356 3.6716 0.0000
0.0000 0.0000 6.6258
Ca U Ir O
2 1 1 8
direct
0.0000 0.0000 0.2430
0.0000 0.0000 0.7570
0.5000 0.5000 0.5000
0.5000 0.5000 0.0000
0.2218 0.2218 0.5000
0.2375 0.2375 0.0000
0.3222 0.6778 0.2350
0.3222 0.6778 0.7650
0.6778 0.3222 0.2350
0.6778 0.3222 0.7650
0.7625 0.7625 0.0000
0.7782 0.7782 0.5000
```

Results
Its density of states at the Fermi level is 8.14 states/eV/f.u. The value obtained for the total energy is -91.010 eV for the cell shown. The value obtained for the theoretical density is 6.16 Mg/m³. The value obtained for the formation energy without anion corrections is -2266 meV/atom.